This record from Alexandria via LeMat-Bulk describes a relaxed TlGa9Ag3 crystal. The functional is PBE-GGA.

Results
energy relative to the elements: 0.048 eV/atom

a b c (Å): 5.464 6.967 7.900
angles (deg): 82.32 69.77 67.27
Sites, in units of the cell vectors:
Tl1 0.000 0.000 0.000
Ga1 0.719 0.781 0.777
Ga2 0.281 0.219 0.223
Ga3 0.504 0.219 0.777
Ga4 0.496 0.781 0.223
Ga5 0.648 0.357 0.358
Ga6 0.352 0.643 0.642
Ga7 0.994 0.643 0.358
Ga8 0.006 0.357 0.642
Ga9 0.000 0.500 0.000
Ag1 0.500 0.500 0.000
Ag2 0.000 0.000 0.500
Ag3 0.500 0.000 0.500

=====

This record from Alexandria via LeMat-Bulk describes a relaxed Tl2GaAg2 crystal. The functional is PBE-GGA.

Results
energy relative to the elements: 0.224 eV/atom

a b c (Å): 8.191 8.191 3.627
angles (deg): 90.00 90.00 90.00
Sites, in units of the cell vectors:
Tl1 0.329 0.829 0.000
Tl2 0.829 0.671 0.000
Tl3 0.671 0.171 0.000
Tl4 0.171 0.329 0.000
Ga1 0.000 0.000 0.000
Ga2 0.500 0.500 0.000
Ag1 0.126 0.626 0.500
Ag2 0.626 0.874 0.500
Ag3 0.874 0.374 0.500
Ag4 0.374 0.126 0.500

=====

This record from Alexandria via LeMat-Bulk describes a relaxed TlGaAg3 crystal. The functional is PBE-GGA.

Results
energy relative to the elements: 0.671 eV/atom

a b c (Å): 5.332 5.332 5.332
angles (deg): 90.00 90.00 90.00
Sites, in units of the cell vectors:
Tl1 0.000 0.000 0.000
Ga1 0.500 0.500 0.500
Ag1 0.000 0.500 0.000
Ag2 0.000 0.000 0.500
Ag3 0.500 0.000 0.000

=====

This record from Alexandria via LeMat-Bulk describes a relaxed TmTlGaAg crystal. The functional is PBE-GGA.

Results
energy relative to the elements: -0.201 eV/atom

a b c (Å): 4.988 4.988 4.988
angles (deg): 60.00 60.00 60.00
Sites, in units of the cell vectors:
Tl1 0.250 0.250 0.250
Tm1 0.000 0.000 0.000
Ga1 0.750 0.750 0.750
Ag1 0.500 0.500 0.500

=====

This record from Alexandria via LeMat-Bulk describes a relaxed Tm4TlGaAg2 crystal. The functional is PBE-GGA.

Results
energy relative to the elements: -0.401 eV/atom

a b c (Å): 5.122 5.122 8.851
angles (deg): 73.18 73.18 60.00
Sites, in units of the cell vectors:
Tm1 0.379 0.379 0.864
Tm2 0.871 0.871 0.386
Tm3 0.129 0.129 0.614
Tm4 0.621 0.621 0.136
Tl1 0.000 0.000 0.000
Ga1 0.500 0.500 0.500
Ag1 0.749 0.749 0.752
Ag2 0.251 0.251 0.248

=====

This record from Alexandria via LeMat-Bulk describes a relaxed TmGa2Ag crystal. The functional is PBE-GGA.

Results
energy relative to the elements: -0.386 eV/atom

a b c (Å): 4.083 4.377 4.377
angles (deg): 90.00 90.00 90.00
Sites, in units of the cell vectors:
Tm1 0.500 0.500 0.500
Ga1 0.000 0.000 0.500
Ga2 0.000 0.500 0.000
Ag1 0.500 0.000 0.000